[1]
Entry from OQMD via LeMat-Bulk: a relaxed structure of PmAuSeO (PBE).

Cell: 4.246 5.784 6.730 Å, 90.00 90.00 90.00°
Fractional coordinates of all 8 atoms:
Pm1 0.000 0.249 0.000
Pm2 0.000 0.751 0.500
Au1 0.500 0.163 0.619
Au2 0.500 0.837 0.119
Se1 0.500 0.410 0.302
Se2 0.500 0.590 0.802
O1 0.000 0.036 0.722
O2 0.000 0.964 0.222

Values from the calculation:
Crystal system: orthorhombic
Total magnetization: 0.00 μB per cell
Electronic total energy: -5.537 eV per atom
V: 20.66 A^3/atom

***

[2]
Entry from OQMD via LeMat-Bulk: a relaxed structure of Zr2FeC (PBE).

Cell: 5.631 5.631 14.131 Å, 101.59 101.59 59.96°
Fractional coordinates of all 24 atoms:
Zr1 0.036 0.871 0.607
Zr2 0.129 0.964 0.893
Zr3 0.197 0.363 0.092
Zr4 0.301 0.471 0.408
Zr5 0.363 0.197 0.592
Zr6 0.471 0.301 0.908
Zr7 0.529 0.699 0.092
Zr8 0.637 0.803 0.408
Zr9 0.699 0.529 0.592
Zr10 0.803 0.637 0.908
Zr11 0.871 0.036 0.107
Zr12 0.964 0.129 0.393
Fe1 0.082 0.404 0.750
Fe2 0.404 0.082 0.250
Fe3 0.421 0.579 0.250
Fe4 0.579 0.421 0.750
Fe5 0.596 0.918 0.750
Fe6 0.918 0.596 0.250
C1 0.000 0.500 0.500
C2 0.161 0.677 0.000
C3 0.323 0.839 0.500
C4 0.500 0.000 0.000
C5 0.677 0.161 0.500
C6 0.839 0.323 0.000

Values from the calculation:
Crystal system: monoclinic
Total magnetization: 7.82 μB per cell
Electronic total energy: -8.957 eV per atom
V: 15.72 A^3/atom

***

[3]
Entry from OQMD via LeMat-Bulk: a relaxed structure of TbPuTl (PBE).

Cell: 5.235 5.235 5.235 Å, 60.00 60.00 60.00°
Fractional coordinates of all 3 atoms:
Tb1 0.000 0.000 0.000
Pu1 0.500 0.500 0.500
Tl1 0.750 0.750 0.750

Values from the calculation:
Crystal system: cubic
Total magnetization: 6.48 μB per cell
Electronic total energy: -6.862 eV per atom
V: 33.81 A^3/atom

***

[4]
Entry from OQMD via LeMat-Bulk: a relaxed structure of AcTmAsO (PBE).

Cell: 4.402 5.539 7.685 Å, 90.00 90.00 90.00°
Fractional coordinates of all 8 atoms:
Ac1 0.000 0.131 0.000
Ac2 0.000 0.869 0.500
Tm1 0.500 0.351 0.348
Tm2 0.500 0.649 0.848
As1 0.500 0.172 0.700
As2 0.500 0.828 0.200
O1 0.000 0.287 0.324
O2 0.000 0.713 0.824

Values from the calculation:
Crystal system: orthorhombic
Total magnetization: 1.84 μB per cell
Electronic total energy: -6.582 eV per atom
V: 23.42 A^3/atom